VASP calculation (PBE) on an optimized crystal structure of LaPtNF2.

Properties
The crystal system is tetragonal. Its distance to the lowest polymorph of the same formula is 204 meV per atom. The value obtained for the uncorrected formation energy is -0.886 eV per atom. The value obtained for the magnetization is 0.31 μB/atom. As for the density of states at the Fermi level: 5.14 states/eV per cell. The calculation puts the calculated total energy at -5.49 eV per atom. The value obtained for the calculated volume is 20.33 A^3/atom.

Lattice parameters (Å, degrees): 4.4767 4.4767 5.0729 90.00 90.00 90.00
Space group P4/mmm (No. 123)
Symmetry-distinct sites (fractional):
La1 0.0000 0.0000 0.0000 x1
Pt1 0.5000 0.5000 0.5000 x1
N1 0.0000 0.0000 0.5000 x1
F1 0.0000 0.5000 0.0000 x2

---

VASP calculation (PBE) on an optimized crystal structure of Tb3Sm2ScAs6.

Properties
The crystal system is monoclinic. The value obtained for the calculated formation energy is -1.488 eV/atom. The value obtained for the magnetization is 0.00 μB/atom. As for the density of states at the Fermi level: 3.56 states/eV per cell. The calculation puts the calculated total energy at -6.28 eV per atom. The value obtained for the calculated volume is 24.84 A^3/atom.

Lattice parameters (Å, degrees): 17.9807 4.1299 8.2515 90.00 103.33 90.00
Space group C2/m (No. 12)
Symmetry-distinct sites (fractional):
Tb1 0.0000 0.0000 0.0000 x2
Tb2 0.1677 0.5000 0.3345 x4
Sm1 0.1649 0.5000 0.8308 x4
Sc1 0.0000 0.0000 0.5000 x2
As1 0.0021 0.5000 0.2618 x4
As2 0.1623 0.0000 0.5773 x4
As3 0.1657 0.0000 0.0859 x4

---

VASP calculation (PBE) on an optimized crystal structure of K2MgSn3Au4.

Properties
The crystal system is tetragonal. The value obtained for the calculated formation energy is -0.352 eV/atom. The value obtained for the magnetization is 0.00 μB/atom. As for the density of states at the Fermi level: 3.99 states/eV per cell. The calculation puts the calculated total energy at -3.24 eV per atom. The value obtained for the calculated volume is 26.27 A^3/atom.

Lattice parameters (Å, degrees): 4.8961 4.8961 10.9580 90.00 90.00 90.00
Space group P-4m2 (No. 115)
Symmetry-distinct sites (fractional):
K1 0.0000 0.5000 0.2430 x2
Mg1 0.0000 0.0000 0.5000 x1
Sn1 0.0000 0.5000 0.8756 x2
Sn2 0.5000 0.5000 0.5000 x1
Au1 0.0000 0.0000 0.0000 x1
Au2 0.0000 0.5000 0.6218 x2
Au3 0.5000 0.5000 0.0000 x1

---

VASP calculation (PBE) on an optimized crystal structure of CdHgSe2.

Properties
The crystal system is monoclinic. Its distance to the lowest polymorph of the same formula is 3 meV per atom. The value obtained for the uncorrected formation energy is -0.414 eV per atom. The value obtained for the magnetization is 0.00 μB/atom. As for the density of states at the Fermi level: 0.09 states/eV per cell. The calculation puts the calculated total energy at -2.46 eV per atom. The value obtained for the calculated volume is 30.26 A^3/atom.

Lattice parameters (Å, degrees): 7.6338 4.4062 7.1966 90.00 90.03 90.00
Space group Cm (No. 8)
Symmetry-distinct sites (fractional):
Cd1 0.0000 0.0000 0.0000 x2
Hg1 0.3342 0.0000 0.4976 x2
Se1 0.0009 0.0000 0.6252 x2
Se2 0.3334 0.0000 0.1203 x2

---

VASP calculation (PBE) on an optimized crystal structure of Mg15In4Pb.

Properties
The crystal system is tetragonal. The value obtained for the calculated formation energy is -0.065 eV/atom. The value obtained for the magnetization is 0.00 μB/atom. As for the density of states at the Fermi level: 11.46 states/eV per cell. The calculation puts the calculated total energy at -1.99 eV per atom. The value obtained for the calculated volume is 22.93 A^3/atom.

Lattice parameters (Å, degrees): 4.5614 4.5614 22.0408 90.00 90.00 90.00
Space group P4/mmm (No. 123)
Symmetry-distinct sites (fractional):
Mg1 0.0000 0.0000 0.0000 x1
Mg2 0.0000 0.0000 0.2018 x2
Mg3 0.0000 0.0000 0.4003 x2
Mg4 0.0000 0.5000 0.1033 x4
Mg5 0.0000 0.5000 0.3006 x4
Mg6 0.0000 0.5000 0.5000 x2
In1 0.5000 0.5000 0.2020 x2
In2 0.5000 0.5000 0.4005 x2
Pb1 0.5000 0.5000 0.0000 x1

---

VASP calculation (PBE) on an optimized crystal structure of RbNa.

Properties
The crystal system is orthorhombic. The value obtained for the calculated formation energy is 0.062 eV/atom. The value obtained for the magnetization is 0.00 μB/atom. As for the density of states at the Fermi level: 21.96 states/eV per cell. The calculation puts the calculated total energy at -1.08 eV per atom. The value obtained for the calculated volume is 63.26 A^3/atom.

Lattice parameters (Å, degrees): 7.6792 12.5637 20.9827 90.00 90.00 90.00
Space group Fddd (No. 70, origin choice 2)
Symmetry-distinct sites (fractional):
Rb1 0.1250 0.2910 0.1250 x16
Na1 0.1250 0.1250 0.5425 x16

---

VASP calculation (PBE) on an optimized crystal structure of CaTlAs2.

Properties
The crystal system is monoclinic. The value obtained for the calculated formation energy is -0.497 eV/atom. Its distance to the lowest polymorph of the same formula is 0 meV per atom. The value obtained for the magnetization is 0.00 μB/atom. As for the density of states at the Fermi level: 1.23 states/eV per cell. The calculation puts the calculated total energy at -3.91 eV per atom. The value obtained for the calculated volume is 26.60 A^3/atom.

Lattice parameters (Å, degrees): 3.8759 4.1443 6.6243 90.00 90.23 90.00
Space group P2/m (No. 10)
Symmetry-distinct sites (fractional):
Ca1 0.0000 0.0000 0.0000 x1
Tl1 0.0000 0.0000 0.5000 x1
As1 0.5000 0.5000 0.1847 x2

---

VASP calculation (PBE) on an optimized crystal structure of Rb2SrICl6.

Properties
The crystal system is tetragonal. The value obtained for the uncorrected formation energy is -1.395 eV per atom. The value obtained for the magnetization is 0.10 μB/atom. As for the density of states at the Fermi level: 13.87 states/eV per cell. The calculation puts the calculated total energy at -3.02 eV per atom. The value obtained for the calculated volume is 40.08 A^3/atom.

Lattice parameters (Å, degrees): 8.6121 8.6121 10.8081 90.00 90.00 90.00
Space group I4/mmm (No. 139)
Symmetry-distinct sites (fractional):
Rb1 0.0000 0.5000 0.2500 x4
Sr1 0.0000 0.0000 0.0000 x2
I1 0.0000 0.0000 0.5000 x2
Cl1 0.0000 0.0000 0.2692 x4
Cl2 0.2308 0.2308 0.0000 x8

---

VASP calculation (PBE) on an optimized crystal structure of Dy15Y2Tm2.

Properties
The crystal system is trigonal. The value obtained for the calculated formation energy is 0.277 eV/atom. The value obtained for the magnetization is 0.00 μB/atom. As for the density of states at the Fermi level: 98.88 states/eV per cell. The calculation puts the calculated total energy at -4.51 eV per atom. The value obtained for the calculated volume is 32.98 A^3/atom.

Lattice parameters (Å, degrees): 11.1101 11.1101 17.5881 90.00 90.00 120.00
Space group R-3m (No. 166, hexagonal axes)
Symmetry-distinct sites (fractional):
Dy1 0.0000 0.2979 0.0000 x18
Dy2 0.0000 0.5000 0.5000 x9
Dy3 0.0130 0.5065 0.1355 x18
Y1 0.0000 0.0000 0.3215 x6
Tm1 0.0000 0.0000 0.0954 x6

---

VASP calculation (PBE) on an optimized crystal structure of CrTe.

Properties
The crystal system is hexagonal. The value obtained for the uncorrected formation energy is 0.119 eV per atom. The value obtained for the magnetization is 2.00 μB/atom. As for the density of states at the Fermi level: 3.28 states/eV per cell. The calculation puts the calculated total energy at -6.26 eV per atom. The value obtained for the calculated volume is 30.51 A^3/atom.

Lattice parameters (Å, degrees): 4.3547 4.3547 7.4302 90.00 90.00 120.00
Space group P6_3mc (No. 186)
Symmetry-distinct sites (fractional):
Cr1 0.3333 0.6667 0.0000 x2
Te1 0.3333 0.6667 0.3655 x2

---

VASP calculation (PBE) on an optimized crystal structure of TlReRh2.

Properties
The crystal system is orthorhombic. The value obtained for the calculated formation energy is 0.219 eV/atom. Its distance to the lowest polymorph of the same formula is 139 meV per atom. The value obtained for the magnetization is 0.00 μB/atom. As for the density of states at the Fermi level: 3.54 states/eV per cell. The calculation puts the calculated total energy at -7.16 eV per atom. The value obtained for the calculated volume is 16.27 A^3/atom.

Lattice parameters (Å, degrees): 2.8708 3.8281 5.9205 90.00 90.00 90.00
Space group Pmmm (No. 47)
Symmetry-distinct sites (fractional):
Tl1 0.0000 0.0000 0.0000 x1
Re1 0.0000 0.0000 0.5000 x1
Rh1 0.5000 0.5000 0.2786 x2

---

VASP calculation (PBE) on an optimized crystal structure of LiTeWI2.

Properties
The crystal system is tetragonal. Its distance to the lowest polymorph of the same formula is 755 meV per atom. The value obtained for the uncorrected formation energy is 1.051 eV per atom. The value obtained for the magnetization is 0.63 μB/atom. As for the density of states at the Fermi level: 5.87 states/eV per cell. The calculation puts the calculated total energy at -3.17 eV per atom. The value obtained for the calculated volume is 28.65 A^3/atom.

Lattice parameters (Å, degrees): 5.1554 5.1554 5.3891 90.00 90.00 90.00
Space group P4/mmm (No. 123)
Symmetry-distinct sites (fractional):
Li1 0.0000 0.0000 0.0000 x1
Te1 0.0000 0.0000 0.5000 x1
W1 0.5000 0.5000 0.5000 x1
I1 0.0000 0.5000 0.0000 x2